A plane-wave DFT calculation with PBE-GGA was carried out for an optimized crystal structure of ZrTlSe2.

It has space group Cmcm (No. 63), with a = 3.956 Å, b = 23.168 Å, c = 5.315 Å, α = 90.00°, β = 90.00° and γ = 90.00°. The inequivalent atoms are Zr at (0.000, 0.064, 0.250), Tl at (0.000, 0.318, 0.250), Se at (0.000, 0.055, 0.750) and Se at (0.000, 0.172, 0.250).

Its density of states at the Fermi level is 8.0 states/eV per cell. As for the formation energy (no corrections): -0.61 eV/atom.